DFT (PBE-GGA) results for an optimized crystal structure of Ti2CuAg2Te6.

SG	C2/m
E_form (uncorrected)	-27	kJ/mol of atoms

```
11
Lattice="6.997 -0.117 -0.091 -3.560 6.025 -0.091 -1.392 -2.392 7.089" Properties=species:S:1:pos:R:3 pbc="T T T"
Ti -0.969 2.916 3.453
Ti 3.014 0.599 3.453
Cu -0.696 -1.196 3.545
Ag 5.481 0.765 -0.091
Ag -2.044 5.143 -0.091
Te 1.641 2.821 4.708
Te -1.864 0.955 5.237
Te 0.404 0.694 2.199
Te 1.752 -1.149 5.237
Te 3.910 2.560 1.670
Te 0.293 4.664 1.670
```

=====

DFT (PBE-GGA) results for an optimized crystal structure of Ca5BiAu4.

SG	P4/mmm
energy relative to the elements	-774	meV per atom

```
10
Lattice="-2.458 -0.871 -2.613 -2.493 -0.784 2.607 -5.931 17.752 -0.336" Properties=species:S:1:pos:R:3 pbc="T T T"
Ca -3.171 1.254 -0.042
Ca -4.304 4.645 -0.106
Ca -5.441 8.049 -0.171
Ca -6.578 11.453 -0.235
Ca -7.711 14.843 -0.300
Bi 0.000 0.000 0.000
Au -1.260 3.771 -0.071
Au -2.397 7.176 -0.136
Au -3.533 10.576 -0.200
Au -4.671 13.980 -0.265
```